SrYBr2: optimized geometry, GGA-PBEsol.

Cell lengths 3.6005, 3.6005, 8.6454 Å; angles 90.00, 90.00, 90.00 degrees
Fractional positions:
Br (0.0000, 0.0000, 0.6890)
Br (0.0000, 0.0000, 0.3110)
Sr (0.5000, 0.5000, 0.0000)
Y (0.5000, 0.5000, 0.5000)

Values from the calculation:
Calculated volume, Å³ per cell: 112
Symmetry: P4/mmm, No. 123
E_form (uncorrected), eV per atom: -1.035
Fermi-level density of states, states/eV per atom: 0.733
Offset from the most stable computed form, meV/atom: 0.0

***

ScCI2O: optimized geometry, GGA-PBEsol.

Cell lengths 3.8141, 5.7300, 5.7300 Å; angles 90.00, 90.00, 90.00 degrees
Fractional positions:
C (0.5000, 0.5000, 0.5000)
Sc (0.0000, 0.0000, 0.0000)
O (0.5000, 0.0000, 0.0000)
I (0.0000, 0.5000, 0.0000)
I (0.0000, 0.0000, 0.5000)

Values from the calculation:
Calculated volume, Å³ per cell: 125
Symmetry: P4/mmm, No. 123
E_form (uncorrected), eV per atom: 0.281
Fermi-level density of states, states/eV per atom: 0.576
Offset from the most stable computed form, meV/atom: 0.0

***

KCuIr: optimized geometry, GGA-PBEsol.

Cell lengths 4.4735, 4.4735, 4.4735 Å; angles 60.00, 60.00, 60.00 degrees
Fractional positions:
K (0.0000, 0.0000, 0.0000)
Cu (0.5000, 0.5000, 0.5000)
Ir (0.2500, 0.2500, 0.2500)

Values from the calculation:
DFT formation energy, eV per formula unit: 4.53
Calculated volume, Å³ per cell: 63
Symmetry: F-43m, No. 216
Fermi-level density of states, states/eV per atom: 1.867
Offset from the most stable computed form, meV/atom: 0.0

***

Li2YAl: optimized geometry, GGA-PBEsol.

Cell lengths 4.8665, 4.8665, 4.8665 Å; angles 60.00, 60.00, 60.00 degrees
Fractional positions:
Y (0.5000, 0.5000, 0.5000)
Li (0.7500, 0.7500, 0.7500)
Li (0.0000, 0.0000, 0.0000)
Al (0.2500, 0.2500, 0.2500)

Values from the calculation:
DFT formation energy, eV per formula unit: -0.49
Calculated volume, Å³ per cell: 81
Symmetry: F-43m, No. 216
Fermi-level density of states, states/eV per atom: 0.525

***

Li2GaPd: optimized geometry, GGA-PBEsol.

Cell lengths 4.2507, 4.2507, 4.2507 Å; angles 60.00, 60.00, 60.00 degrees
Fractional positions:
Pd (0.0000, 0.0000, 0.0000)
Li (0.2500, 0.2500, 0.2500)
Li (0.5000, 0.5000, 0.5000)
Ga (0.7500, 0.7500, 0.7500)

Values from the calculation:
DFT formation energy, eV per formula unit: -2.16
Calculated volume, Å³ per cell: 54
Symmetry: F-43m, No. 216
Fermi-level density of states, states/eV per atom: 0.350

***

Eu2H3Br: optimized geometry, GGA-PBEsol.

Cell lengths 3.9578, 3.9578, 6.8625 Å; angles 90.00, 90.00, 120.00 degrees
Fractional positions:
Eu (0.6667, 0.3333, 0.6933)
Eu (0.3333, 0.6667, 0.3067)
H (0.6667, 0.3333, 0.3528)
H (0.3333, 0.6667, 0.6472)
H (0.0000, 0.0000, 0.5000)
Br (0.0000, 0.0000, 0.0000)

Values from the calculation:
Calculated volume, Å³ per cell: 93
Symmetry: P-3m1, No. 164
Uncorrected energy, eV per atom: -6.490
Fermi-level density of states, states/eV per atom: 2.237

***

What is the Fermi-level density of states in the fourth record? 0.525 states/eV per atom